1.
# PBE MnAl2Te, optimized geometry
data_MnAl2Te
_cell_length_a 3.0712
_cell_length_b 3.0712
_cell_length_c 27.3122
_cell_angle_alpha 90.00
_cell_angle_beta 90.00
_cell_angle_gamma 120.00
_space_group_name_H-M_alt 'R -3 m'
_space_group_IT_number 166
_space_group_name_Hall '-R 3 2"'
loop_
_atom_site_label
_atom_site_type_symbol
_atom_site_fract_x
_atom_site_fract_y
_atom_site_fract_z
Mn1 Mn 0.0000 0.0000 0.0000
Al1 Al 0.0000 0.0000 0.2656
Te1 Te 0.0000 0.0000 0.5000
# - Spin magnetization: 0.638 μB/atom

2.
# PBE MnAlTe2, optimized geometry
data_MnAlTe2
_cell_length_a 7.9644
_cell_length_b 7.7849
_cell_length_c 4.3250
_cell_angle_alpha 90.00
_cell_angle_beta 117.59
_cell_angle_gamma 90.00
_space_group_name_H-M_alt 'C 1 2/m 1'
_space_group_IT_number 12
_space_group_name_Hall '-C 2y'
loop_
_atom_site_label
_atom_site_type_symbol
_atom_site_fract_x
_atom_site_fract_y
_atom_site_fract_z
Mn1 Mn 0.0000 0.0000 0.0000
Al1 Al 0.0000 0.5000 0.0000
Te1 Te 0.2500 0.2500 0.0000
# - Spin magnetization: 1.182 μB/atom

3.
# PBE MnAl2Te4, optimized geometry
data_MnAl2Te4
_cell_length_a 5.9854
_cell_length_b 5.9854
_cell_length_c 12.5879
_cell_angle_alpha 90.00
_cell_angle_beta 90.00
_cell_angle_gamma 90.00
_space_group_name_H-M_alt 'I -4 2 m'
_space_group_IT_number 121
_space_group_name_Hall 'I -4 2'
loop_
_atom_site_label
_atom_site_type_symbol
_atom_site_fract_x
_atom_site_fract_y
_atom_site_fract_z
Mn1 Mn 0.0000 0.0000 0.0000
Al1 Al 0.0000 0.5000 0.2500
Te1 Te 0.2329 0.2329 0.3785
# - Spin magnetization: 0.714 μB/atom

4.
# PBE MnAlTe2, optimized geometry
data_MnAlTe2
_cell_length_a 7.2513
_cell_length_b 7.2513
_cell_length_c 7.2513
_cell_angle_alpha 90.00
_cell_angle_beta 90.00
_cell_angle_gamma 90.00
_space_group_name_H-M_alt 'F -4 3 m'
_space_group_IT_number 216
_space_group_name_Hall 'F -4 2 3'
loop_
_atom_site_label
_atom_site_type_symbol
_atom_site_fract_x
_atom_site_fract_y
_atom_site_fract_z
Mn1 Mn 0.0000 0.0000 0.0000
Al1 Al 0.2500 0.2500 0.7500
Te1 Te 0.0000 0.0000 0.5000
Te2 Te 0.2500 0.2500 0.2500
# - Spin magnetization: 1.068 μB/atom

5.
# PBE MnAl2Te, optimized geometry
data_MnAl2Te
_cell_length_a 3.4530
_cell_length_b 3.4530
_cell_length_c 23.0713
_cell_angle_alpha 90.00
_cell_angle_beta 90.00
_cell_angle_gamma 120.00
_space_group_name_H-M_alt 'R 3 m'
_space_group_IT_number 160
_space_group_name_Hall 'R 3 -2"'
loop_
_atom_site_label
_atom_site_type_symbol
_atom_site_fract_x
_atom_site_fract_y
_atom_site_fract_z
Mn1 Mn 0.0000 0.0000 0.0000
Al1 Al 0.0000 0.0000 0.4928
Al2 Al 0.0000 0.0000 0.7421
Te1 Te 0.0000 0.0000 0.2558
# - Spin magnetization: 0.729 μB/atom

6.
# PBE MnAlTe2, optimized geometry
data_MnAlTe2
_cell_length_a 12.5277
_cell_length_b 4.0504
_cell_length_c 4.0479
_cell_angle_alpha 90.00
_cell_angle_beta 107.17
_cell_angle_gamma 90.00
_space_group_name_H-M_alt 'C 1 m 1'
_space_group_IT_number 8
_space_group_name_Hall 'C -2y'
loop_
_atom_site_label
_atom_site_type_symbol
_atom_site_fract_x
_atom_site_fract_y
_atom_site_fract_z
Mn1 Mn 0.0000 0.0000 0.0000
Al1 Al 0.2317 0.0000 0.2648
Te1 Te 0.2708 0.5000 0.7945
Te2 Te 0.4759 0.0000 0.4769
# - Spin magnetization: 1.016 μB/atom

Computed uncorrected formation energy, in the same sequence as the records: 83 62 -237 196 81 -16 kJ/mol of formula units.